Material: TbPr4Sm2Er
Method: DFT, PBE
State: optimized geometry

Lattice parameters (Å, degrees): 5.1959 5.1658 11.4547 63.12 90.00 90.00
With the nearest neighbours (Å) after each atom.
Sites, in units of the cell vectors:
Pr  0.5000  0.2504  0.7496  4 Sm 3.63-3.65, 2 Tb 3.63-3.64, 2 Er 3.64, 4 Pr 3.66
Sm  0.5000  0.0000  0.5000  8 Pr 3.63, 4 Er 3.66
Tb  0.5000  0.5000  0.0000  8 Pr 3.63-3.65, 4 Sm 3.66
Pr  0.5000  0.7496  0.2504  4 Sm 3.63-3.65, 2 Tb 3.63-3.64, 2 Er 3.64, 4 Pr 3.66
Sm  0.0000  0.0000  0.0000  8 Pr 3.64-3.65, 4 Tb 3.66
Er  0.0000  0.5000  0.5000  8 Pr 3.62-3.64, 4 Sm 3.66
Pr  0.0000  0.2484  0.2514  2 Er 3.62-3.63, 4 Sm 3.63-3.64, 2 Tb 3.65, 4 Pr 3.66
Pr  0.0000  0.7516  0.7486  2 Er 3.62-3.63, 4 Sm 3.63-3.64, 2 Tb 3.65, 4 Pr 3.66

Properties
Formation enthalpy at 0 K = 14 meV per atom
Symmetry = P2/m